Here is crystalline Ba2TlSnS5 at its relaxed geometry from the Alexandria database. Energies are from PBE.

Structure (CIF):
```
data_Ba2TlSnS5
_chemical_formula_sum 'Ba8 Tl4 Sn4 S20'
_cell_length_a 4.398
_cell_length_b 18.690
_cell_length_c 12.357
_cell_angle_alpha 90.00
_cell_angle_beta 90.00
_cell_angle_gamma 90.00
_space_group_name_H-M_alt 'C m c 21'
_space_group_IT_number 36
_space_group_name_Hall 'C 2c -2'
loop_
_atom_site_label
_atom_site_fract_x
_atom_site_fract_y
_atom_site_fract_z
_atom_site_occupancy
Ba1 0.000 0.119 0.000 1
Ba2 0.000 0.123 0.623 1
Tl1 0.000 0.225 0.343 1
Sn1 0.000 0.435 0.769 1
S1 0.000 0.043 0.364 1
S2 0.000 0.292 0.980 1
S3 0.000 0.313 0.688 1
S4 0.000 0.363 0.314 1
S5 0.000 0.496 0.595 1
```

ΔE_f (raw) = -1.085 eV per atom
N(E_F) = 6.1 states/eV per cell
VASP energy = -162.5 eV per cell